Arrangement i

This record from Alexandria via LeMat-Bulk describes a relaxed ReRuPt2 crystal. The functional is PBE-GGA. Values from VASP.

Output
space-group type: R-3m
mass density: 18.8 g/cm3

```
&SYSTEM
  ibrav = 0, nat = 4, ntyp = 3
/
ATOMIC_SPECIES
Re 186.21 Re.upf
Ru 101.07 Ru.upf
Pt 195.08 Pt.upf
CELL_PARAMETERS angstrom
9.207 0.005 0.003
8.791 2.736 0.003
8.791 1.339 2.386
ATOMIC_POSITIONS angstrom
Re 6.697 1.020 0.598
Ru 20.092 3.059 1.794
Pt 26.764 4.076 2.389
Pt 13.420 2.043 1.198
```



Arrangement ii

This record from Alexandria via LeMat-Bulk describes a relaxed ReRuPt2 crystal. The functional is PBE-GGA. Values from VASP.

Output
space-group type: P2/m
mass density: 18.8 g/cm3

```
&SYSTEM
  ibrav = 0, nat = 4, ntyp = 3
/
ATOMIC_SPECIES
Pt 195.08 Pt.upf
Ru 101.07 Ru.upf
Re 186.21 Re.upf
CELL_PARAMETERS angstrom
2.764 0.000 0.000
0.000 4.779 0.001
0.000 3.182 4.521
ATOMIC_POSITIONS angstrom
Pt 1.382 2.389 0.001
Pt 0.000 0.000 0.000
Ru 0.000 1.591 2.261
Re 1.382 3.981 2.261
```



How do the energies compare? Relative to the most stable structure, in kJ/mol of atoms: arrangement i 2.7; arrangement ii 0.0.



Arrangement i

This record from Alexandria via LeMat-Bulk describes a relaxed ReRuPt2 crystal. The functional is PBE-GGA. Values from VASP.

Output
space-group type: P4mm
mass density: 18.7 g/cm3

```
&SYSTEM
  ibrav = 0, nat = 4, ntyp = 3
/
ATOMIC_SPECIES
Pt 195.08 Pt.upf
Re 186.21 Re.upf
Ru 101.07 Ru.upf
CELL_PARAMETERS angstrom
-2.479 0.748 0.959
-0.882 -2.604 -0.249
2.394 -1.514 7.367
ATOMIC_POSITIONS angstrom
Pt -1.056 -1.323 2.276
Pt 2.376 -1.503 7.314
Re 1.227 -0.776 3.777
Ru 0.076 -2.040 5.762
```



Arrangement ii

This record from Alexandria via LeMat-Bulk describes a relaxed ReRuPt2 crystal. The functional is PBE-GGA. Values from VASP.

Output
space-group type: P4/mmm
mass density: 18.8 g/cm3

```
&SYSTEM
  ibrav = 0, nat = 4, ntyp = 3
/
ATOMIC_SPECIES
Re 186.21 Re.upf
Pt 195.08 Pt.upf
Ru 101.07 Ru.upf
CELL_PARAMETERS angstrom
-2.538 2.004 -2.124
1.878 -1.033 -3.219
-2.306 -3.243 -0.305
ATOMIC_POSITIONS angstrom
Re -2.422 -0.620 -1.214
Pt 0.000 0.000 0.000
Pt -0.330 0.485 -2.672
Ru -0.214 -2.138 -1.762
```



How do the energies compare? Relative to the most stable structure, in kJ/mol of atoms: arrangement i 0.0; arrangement ii 15.4.



Arrangement i

This record from Alexandria via LeMat-Bulk describes a relaxed ReRuPt2 crystal. The functional is PBE-GGA. Values from VASP.

Output
space-group type: Pmmm
mass density: 18.8 g/cm3

```
&SYSTEM
  ibrav = 0, nat = 4, ntyp = 3
/
ATOMIC_SPECIES
Ru 101.07 Ru.upf
Pt 195.08 Pt.upf
Re 186.21 Re.upf
CELL_PARAMETERS angstrom
3.993 0.000 0.000
0.000 2.731 0.004
0.000 2.721 5.478
ATOMIC_POSITIONS angstrom
Ru 1.996 4.089 4.112
Pt 0.000 2.726 2.723
Pt 0.000 2.730 0.023
Re 1.996 1.363 1.371
```



Arrangement ii

This record from Alexandria via LeMat-Bulk describes a relaxed ReRuPt2 crystal. The functional is PBE-GGA. Values from VASP.

Output
space-group type: P4/mmm
mass density: 18.3 g/cm3

```
&SYSTEM
  ibrav = 0, nat = 4, ntyp = 3
/
ATOMIC_SPECIES
Ru 101.07 Ru.upf
Pt 195.08 Pt.upf
Re 186.21 Re.upf
CELL_PARAMETERS angstrom
-4.218 -1.546 1.550
-1.408 -0.658 -4.490
0.957 -2.540 0.072
ATOMIC_POSITIONS angstrom
Ru -0.226 -1.599 -2.209
Pt -2.813 -1.102 -1.470
Pt 0.000 0.000 0.000
Re -1.630 -2.043 0.811
```



How do the energies compare? Relative to the most stable structure, in kJ/mol of atoms: arrangement i 0.0; arrangement ii 24.2.



Arrangement i

This record from Alexandria via LeMat-Bulk describes a relaxed Re2Ru2Pt crystal. The functional is PBE-GGA. Values from VASP.

Output
space-group type: P4/mbm
mass density: 16.7 g/cm3

```
&SYSTEM
  ibrav = 0, nat = 10, ntyp = 3
/
ATOMIC_SPECIES
Ru 101.07 Ru.upf
Re 186.21 Re.upf
Pt 195.08 Pt.upf
CELL_PARAMETERS angstrom
7.444 0.000 0.000
0.000 7.444 0.000
0.000 0.000 2.760
ATOMIC_POSITIONS angstrom
Ru 0.944 2.778 0.000
Ru 2.778 6.500 0.000
Ru 4.667 0.944 0.000
Ru 6.500 4.667 0.000
Re 4.965 6.201 1.380
Re 6.201 2.479 1.380
Re 2.479 1.243 1.380
Re 1.243 4.965 1.380
Pt 0.000 0.000 0.000
Pt 3.722 3.722 0.000
```



Arrangement ii

This record from Alexandria via LeMat-Bulk describes a relaxed Re2Ru2Pt crystal. The functional is PBE-GGA. Values from VASP.

Output
space-group type: P4/mbm
mass density: 16.6 g/cm3

```
&SYSTEM
  ibrav = 0, nat = 10, ntyp = 3
/
ATOMIC_SPECIES
Re 186.21 Re.upf
Ru 101.07 Ru.upf
Pt 195.08 Pt.upf
CELL_PARAMETERS angstrom
7.479 0.000 0.000
0.000 7.479 0.000
0.000 0.000 2.761
ATOMIC_POSITIONS angstrom
Re 2.809 6.549 0.000
Re 4.669 0.930 0.000
Re 0.930 2.809 0.000
Re 6.549 4.669 0.000
Ru 4.989 6.229 1.381
Ru 2.489 1.250 1.381
Ru 6.229 2.489 1.381
Ru 1.250 4.989 1.381
Pt 0.000 0.000 0.000
Pt 3.739 3.739 0.000
```



How do the energies compare? Relative to the most stable structure, in kJ/mol of atoms: arrangement i 0.0; arrangement ii 2.0.



Arrangement i

This record from Alexandria via LeMat-Bulk describes a relaxed ReRu3Pt crystal. The functional is PBE-GGA. Values from VASP.

Output
space-group type: Pm-3m
mass density: 11.4 g/cm3

```
&SYSTEM
  ibrav = 0, nat = 5, ntyp = 3
/
ATOMIC_SPECIES
Ru 101.07 Ru.upf
Re 186.21 Re.upf
Pt 195.08 Pt.upf
CELL_PARAMETERS angstrom
4.631 0.000 0.000
0.000 4.631 0.000
0.000 0.000 4.631
ATOMIC_POSITIONS angstrom
Ru 2.316 0.000 0.000
Ru 0.000 0.000 2.316
Ru 0.000 2.316 0.000
Re 0.000 0.000 0.000
Pt 2.316 2.316 2.316
```



Arrangement ii

This record from Alexandria via LeMat-Bulk describes a relaxed ReRu3Pt crystal. The functional is PBE-GGA. Values from VASP.

Output
space-group type: P2_1/m
mass density: 15.7 g/cm3

```
&SYSTEM
  ibrav = 0, nat = 10, ntyp = 3
/
ATOMIC_SPECIES
Ru 101.07 Ru.upf
Pt 195.08 Pt.upf
Re 186.21 Re.upf
CELL_PARAMETERS angstrom
-2.526 -2.923 -0.176
4.591 -3.909 -0.960
-4.018 3.049 7.000
ATOMIC_POSITIONS angstrom
Ru -1.649 -0.217 6.017
Ru -0.302 -3.567 -0.152
Ru -3.682 1.584 5.274
Ru -0.956 -0.662 3.468
Ru 1.731 -5.368 0.590
Ru -0.996 -3.121 2.396
Pt 1.630 -2.785 1.619
Pt -3.581 -0.999 4.246
Re -1.638 -2.725 5.026
Re -0.314 -1.059 0.839
```



How do the energies compare? Relative to the most stable structure, in kJ/mol of atoms: arrangement i 168.8; arrangement ii 0.0.



Arrangement i

This record from Alexandria via LeMat-Bulk describes a relaxed ReSbPt3 crystal. The functional is PBE-GGA. Values from VASP.

Output
space-group type: Pm-3m
mass density: 13.0 g/cm3

```
&SYSTEM
  ibrav = 0, nat = 5, ntyp = 3
/
ATOMIC_SPECIES
Pt 195.08 Pt.upf
Sb 121.76 Sb.upf
Re 186.21 Re.upf
CELL_PARAMETERS angstrom
4.853 0.000 0.000
0.000 4.853 0.000
0.000 0.000 4.853
ATOMIC_POSITIONS angstrom
Pt 0.000 2.426 0.000
Pt 2.426 0.000 0.000
Pt 0.000 0.000 2.426
Sb 2.426 2.426 2.426
Re 0.000 0.000 0.000
```



Arrangement ii

This record from Alexandria via LeMat-Bulk describes a relaxed ReSbPt3 crystal. The functional is PBE-GGA. Values from VASP.

Output
space-group type: Pm-3m
mass density: 12.7 g/cm3

```
&SYSTEM
  ibrav = 0, nat = 5, ntyp = 3
/
ATOMIC_SPECIES
Pt 195.08 Pt.upf
Sb 121.76 Sb.upf
Re 186.21 Re.upf
CELL_PARAMETERS angstrom
4.893 0.000 0.000
0.000 4.893 0.000
0.000 0.000 4.893
ATOMIC_POSITIONS angstrom
Pt 0.000 2.446 0.000
Pt 2.446 0.000 0.000
Pt 0.000 0.000 2.446
Sb 0.000 0.000 0.000
Re 2.446 2.446 2.446
```



How do the energies compare? Relative to the most stable structure, in kJ/mol of atoms: arrangement i 0.0; arrangement ii 51.4.



Arrangement i

This record from Alexandria via LeMat-Bulk describes a relaxed ReSb3Pt crystal. The functional is PBE-GGA. Values from VASP.

Output
space-group type: Pm-3m
mass density: 9.0 g/cm3

```
&SYSTEM
  ibrav = 0, nat = 5, ntyp = 3
/
ATOMIC_SPECIES
Sb 121.76 Sb.upf
Re 186.21 Re.upf
Pt 195.08 Pt.upf
CELL_PARAMETERS angstrom
5.172 0.000 0.000
0.000 5.172 0.000
0.000 0.000 5.172
ATOMIC_POSITIONS angstrom
Sb 0.000 0.000 2.586
Sb 0.000 2.586 0.000
Sb 2.586 0.000 0.000
Re 2.586 2.586 2.586
Pt 0.000 0.000 0.000
```



Arrangement ii

This record from Alexandria via LeMat-Bulk describes a relaxed ReSb3Pt crystal. The functional is PBE-GGA. Values from VASP.

Output
space-group type: Pm-3m
mass density: 9.3 g/cm3

```
&SYSTEM
  ibrav = 0, nat = 5, ntyp = 3
/
ATOMIC_SPECIES
Pt 195.08 Pt.upf
Sb 121.76 Sb.upf
Re 186.21 Re.upf
CELL_PARAMETERS angstrom
-1.249 2.958 3.965
-2.730 -3.822 1.992
4.125 -1.633 2.519
ATOMIC_POSITIONS angstrom
Pt 0.073 -1.249 4.238
Sb -0.625 1.479 1.982
Sb -1.365 -1.911 0.996
Sb 2.063 -0.817 1.259
Re 0.000 0.000 0.000
```



How do the energies compare? Relative to the most stable structure, in kJ/mol of atoms: arrangement i 44.5; arrangement ii 0.0.



Arrangement i

This record from Alexandria via LeMat-Bulk describes a relaxed ReSb2TePt crystal. The functional is PBE-GGA. Values from VASP.

Output
space-group type: P4/mmm
mass density: 9.3 g/cm3

```
&SYSTEM
  ibrav = 0, nat = 5, ntyp = 4
/
ATOMIC_SPECIES
Sb 121.76 Sb.upf
Re 186.21 Re.upf
Te 127.60 Te.upf
Pt 195.08 Pt.upf
CELL_PARAMETERS angstrom
5.128 0.000 0.000
0.000 5.128 0.000
0.000 0.000 5.104
ATOMIC_POSITIONS angstrom
Sb 0.000 2.564 0.000
Sb 2.564 0.000 0.000
Re 0.000 0.000 0.000
Te 0.000 0.000 2.552
Pt 2.564 2.564 2.552
```



Arrangement ii

This record from Alexandria via LeMat-Bulk describes a relaxed ReSb2TePt crystal. The functional is PBE-GGA. Values from VASP.

Output
space-group type: P4/mmm
mass density: 8.8 g/cm3

```
&SYSTEM
  ibrav = 0, nat = 5, ntyp = 4
/
ATOMIC_SPECIES
Pt 195.08 Pt.upf
Sb 121.76 Sb.upf
Te 127.60 Te.upf
Re 186.21 Re.upf
CELL_PARAMETERS angstrom
-4.746 2.001 -0.011
-1.862 -4.407 1.909
0.758 1.826 4.954
ATOMIC_POSITIONS angstrom
Pt 0.000 0.000 0.000
Sb -2.373 1.000 -0.005
Sb -0.931 -2.203 0.954
Te 0.379 0.913 2.477
Re -2.925 -0.290 3.426
```



How do the energies compare? Relative to the most stable structure, in kJ/mol of atoms: arrangement i 0.0; arrangement ii 36.9.